(1)
DFT (PBE-GGA) results for crystalline MgCrCo2Mo at its relaxed geometry.

Calculated values
**E_form**: 1.351 eV per atom
**N(E_F)**: 4.876 states/eV/f.u.
**Total magnetic moment**: 3.712 μB per cell
**Raw total energy**: -29.505 eV for the cell shown

Cell lengths 4.1446, 4.5964, 4.1446 Å; angles 90.00, 90.00, 90.00 degrees
Each line ends with the local moment (μB).
Positions (direct):
Cr 0.0000 0.0000 0.0000  0.39
Mo 0.5000 0.5000 0.5000  1.95
Co 0.0000 0.0000 0.5000  0.59
Co 0.5000 0.0000 0.0000  0.52
Mg 0.0000 0.5000 0.0000  0.01

(2)
DFT (PBE-GGA) results for crystalline MgCrCoRu at its relaxed geometry.

Calculated values
**E_form**: 0.122 eV per atom
**N(E_F)**: 5.019 states/eV/f.u.
**Total magnetic moment**: 1.077 μB per cell
**Raw total energy**: -27.111 eV for the cell shown

Cell lengths 4.1875, 4.1875, 4.1875 Å; angles 60.00, 60.00, 60.00 degrees
Each line ends with the local moment (μB).
Positions (direct):
Ru 0.5000 0.5000 0.5000  -0.27
Mg 0.7500 0.7500 0.7500  -0.02
Co 0.0000 0.0000 0.0000  0.31
Cr 0.2500 0.2500 0.2500  1.08

(3)
DFT (PBE-GGA) results for crystalline MgCrCoS2 at its relaxed geometry.

Calculated values
**Raw formation energy**: 1.312 eV per atom
**N(E_F)**: 10.434 states/eV/f.u.
**Total magnetic moment**: 0.127 μB per cell
**Raw total energy**: -20.020 eV for the cell shown

Cell lengths 4.6065, 4.3798, 4.6065 Å; angles 90.00, 90.00, 90.00 degrees
Each line ends with the local moment (μB).
Positions (direct):
Cr 0.5000 0.5000 0.5000  0.33
S 0.0000 0.0000 0.5000  -0.03
S 0.5000 0.0000 0.0000  -0.01
Co 0.0000 0.5000 0.0000  -0.18
Mg 0.0000 0.0000 0.0000  0.00

(4)
DFT (PBE-GGA) results for crystalline Mg2CrCoSb at its relaxed geometry.

Calculated values
**Raw formation energy**: 0.987 eV per atom
**N(E_F)**: 5.680 states/eV/f.u.
**Total magnetic moment**: 4.707 μB per cell
**Raw total energy**: -19.107 eV for the cell shown

Cell lengths 5.0161, 4.8652, 5.0161 Å; angles 90.00, 90.00, 90.00 degrees
Each line ends with the local moment (μB).
Positions (direct):
Sb 0.0000 0.5000 0.0000  -0.10
Mg 0.0000 0.0000 0.5000  -0.01
Mg 0.5000 0.0000 0.0000  0.01
Co 0.5000 0.5000 0.5000  2.03
Cr 0.0000 0.0000 0.0000  2.66

(5)
DFT (PBE-GGA) results for crystalline Mn5CrCo6 at its relaxed geometry.

Calculated values
**E_form**: 0.027 eV per atom
**N(E_F)**: 11.935 states/eV/f.u.
**Total magnetic moment**: 22.856 μB per cell
**Raw total energy**: -97.786 eV for the cell shown

Cell lengths 4.0336, 5.7153, 6.9964 Å; angles 65.89, 73.29, 90.00 degrees
Each line ends with the local moment (μB).
Positions (direct):
Cr 0.0000 0.0000 0.0000  0.57
Mn 0.6668 0.1666 0.6669  2.86
Mn 0.3328 0.3330 0.3340  2.96
Mn 0.0000 0.5000 0.0000  2.93
Mn 0.6672 0.6670 0.6660  2.96
Mn 0.3332 0.8334 0.3331  2.86
Co 0.8349 0.5872 0.3298  1.24
Co 0.8349 0.0830 0.3298  1.24
Co 0.5000 0.7539 0.0000  1.29
Co 0.5000 0.2461 0.0000  1.29
Co 0.1651 0.9170 0.6702  1.24
Co 0.1651 0.4128 0.6702  1.24

(6)
DFT (PBE-GGA) results for crystalline MnCr2Co2 at its relaxed geometry.

Calculated values
**E_form**: 0.240 eV per atom
**N(E_F)**: 6.554 states/eV/f.u.
**Total magnetic moment**: 0.001 μB per cell
**Excess energy over the best structure of this formula in the dataset**: 0.000 eV per atom
**Raw total energy**: -82.858 eV for the cell shown

Cell lengths 6.7266, 6.7266, 2.4910 Å; angles 90.00, 90.00, 90.00 degrees
Positions (direct):
Cr 0.1736 0.6736 0.5000
Cr 0.6736 0.8264 0.5000
Cr 0.8264 0.3264 0.5000
Cr 0.3264 0.1736 0.5000
Mn 0.0000 0.0000 0.0000
Mn 0.5000 0.5000 0.0000
Co 0.3754 0.8754 0.0000
Co 0.8754 0.6246 0.0000
Co 0.6246 0.1246 0.0000
Co 0.1246 0.3754 0.0000

(7)
DFT (PBE-GGA) results for crystalline Mn2CrCo2 at its relaxed geometry.

Calculated values
**E_form**: 0.227 eV per atom
**N(E_F)**: 6.123 states/eV/f.u.
**Total magnetic moment**: 1.299 μB per cell
**Excess energy over the best structure of this formula in the dataset**: 0.000 eV per atom
**Raw total energy**: -82.075 eV for the cell shown

Cell lengths 6.7177, 6.7177, 2.4791 Å; angles 90.00, 90.00, 90.00 degrees
Each line ends with the local moment (μB).
Positions (direct):
Cr 0.0000 0.0000 0.0000  -1.01
Cr 0.5000 0.5000 0.0000  -1.01
Mn 0.1741 0.6741 0.5000  0.97
Mn 0.6741 0.8259 0.5000  0.98
Mn 0.8259 0.3259 0.5000  0.97
Mn 0.3259 0.1741 0.5000  0.98
Co 0.3765 0.8765 0.0000  -0.12
Co 0.8765 0.6235 0.0000  -0.14
Co 0.6235 0.1235 0.0000  -0.12
Co 0.1235 0.3765 0.0000  -0.14

(8)
DFT (PBE-GGA) results for crystalline Mn2CrCo2 at its relaxed geometry.

Calculated values
**E_form**: 0.483 eV per atom
**N(E_F)**: 3.917 states/eV/f.u.
**Total magnetic moment**: 0.000 μB per cell
**Excess energy over the best structure of this formula in the dataset**: 0.256 eV per atom
**Raw total energy**: -39.759 eV for the cell shown

Cell lengths 3.3787, 3.3787, 5.6518 Å; angles 72.61, 72.61, 90.00 degrees
Positions (direct):
Cr 0.0000 0.0000 0.0000
Mn 0.4027 0.4027 0.1947
Mn 0.5973 0.5973 0.8053
Co 0.7500 0.2500 0.5000
Co 0.2500 0.7500 0.5000

(9)
DFT (PBE-GGA) results for crystalline MnCrCo4 at its relaxed geometry.

Calculated values
**E_form**: 0.118 eV per atom
**N(E_F)**: 6.798 states/eV/f.u.
**Total magnetic moment**: 6.531 μB per cell
**Excess energy over the best structure of this formula in the dataset**: 0.067 eV per atom
**Raw total energy**: -46.508 eV for the cell shown

Cell lengths 4.6657, 4.6657, 4.6657 Å; angles 60.00, 60.00, 60.00 degrees
Each line ends with the local moment (μB).
Positions (direct):
Mn 0.0000 0.0000 0.0000  3.34
Cr 0.7500 0.7500 0.7500  -2.66
Co 0.8756 0.3748 0.3748  1.49
Co 0.3748 0.3748 0.8756  1.49
Co 0.3748 0.8756 0.3748  1.49
Co 0.3748 0.3748 0.3748  1.49

(10)
DFT (PBE-GGA) results for crystalline MnCr2Co at its relaxed geometry.

Calculated values
**E_form**: 0.187 eV per atom
**N(E_F)**: 5.265 states/eV/f.u.
**Total magnetic moment**: 1.608 μB per cell
**Raw total energy**: -34.774 eV for the cell shown

Cell lengths 8.4638, 8.4638, 8.4638 Å; angles 16.93, 16.93, 16.93 degrees
Each line ends with the local moment (μB).
Positions (direct):
Co 0.7500 0.7500 0.7500  0.91
Cr 0.0007 0.0007 0.0007  0.01
Cr 0.4993 0.4993 0.4993  0.01
Mn 0.2500 0.2500 0.2500  0.66

(11)
DFT (PBE-GGA) results for crystalline MnCr2Co at its relaxed geometry.

Calculated values
**E_form**: 0.034 eV per atom
**N(E_F)**: 2.430 states/eV/f.u.
**Total magnetic moment**: 3.839 μB per cell
**Raw total energy**: -35.388 eV for the cell shown

Cell lengths 2.9344, 3.9668, 4.0324 Å; angles 90.00, 90.00, 90.00 degrees
Each line ends with the local moment (μB).
Positions (direct):
Cr 0.0000 0.0000 0.0000  -1.52
Cr 0.5000 0.5000 0.0000  1.57
Mn 0.5000 0.0000 0.5000  2.52
Co 0.0000 0.5000 0.5000  1.23

(12)
DFT (PBE-GGA) results for crystalline Mn2CrCo at its relaxed geometry.

Calculated values
**E_form**: 0.070 eV per atom
**N(E_F)**: 2.805 states/eV/f.u.
**Total magnetic moment**: 5.157 μB per cell
**Raw total energy**: -34.789 eV for the cell shown

Cell lengths 4.7834, 4.7834, 4.7834 Å; angles 144.16, 131.26, 61.96 degrees
Each line ends with the local moment (μB).
Positions (direct):
Co 0.4986 0.4986 0.0000  1.46
Cr 0.2489 0.7489 0.5000  -1.57
Mn 0.0065 0.0065 0.0000  2.69
Mn 0.7461 0.2461 0.5000  2.56